NiB3W after structural relaxation. Source: Alexandria via LeMat-Bulk, functional GGA-PBE.

Cell: 3.701 3.701 3.701 Å, 90.00 90.00 90.00°
Positions (direct):
1 B 0.000 0.000 0.500
2 W 0.500 0.500 0.500
3 B 0.500 0.000 0.000
4 B 0.000 0.500 0.000
5 Ni 0.000 0.000 0.000

Symmetry   No. 221
Final energy   -6.52 eV per atom
ΔE_f   1.2297 eV/atom
Fermi-level density of states   0.7845 states/eV per atom
Energy above the lowest structure with this stoichiometry   0 meV per atom

Ni2B2W after structural relaxation. Source: Alexandria via LeMat-Bulk, functional GGA-PBE.

Cell: 3.131 3.667 8.452 Å, 96.51 90.00 90.00°
Positions (direct):
1 W 0.750 0.334 0.757
2 Ni 0.750 0.751 0.504
3 Ni 0.250 0.249 0.496
4 Ni 0.250 0.866 0.891
5 W 0.250 0.666 0.243
6 B 0.250 0.386 0.982
7 B 0.750 0.206 0.344
8 Ni 0.750 0.134 0.109
9 B 0.250 0.794 0.656
10 B 0.750 0.614 0.018

Symmetry   No. 11
Final energy   -7.78 eV per atom
ΔE_f   -0.2108 eV/atom
Fermi-level density of states   0.5283 states/eV per atom
Energy above the lowest structure with this stoichiometry   0 meV per atom

Ni2B2W after structural relaxation. Source: Alexandria via LeMat-Bulk, functional GGA-PBE.

Cell: 3.591 3.591 4.597 Å, 67.01 67.01 90.00°
Positions (direct):
1 B 0.250 0.750 0.500
2 Ni 0.646 0.646 0.707
3 B 0.750 0.250 0.500
4 W 0.000 0.000 0.000
5 Ni 0.354 0.354 0.293

Symmetry   No. 139
Final energy   -7.47 eV per atom
ΔE_f   0.1026 eV/atom
Fermi-level density of states   0.5464 states/eV per atom
Energy above the lowest structure with this stoichiometry   313 meV per atom

ZnNiB2W after structural relaxation. Source: Alexandria via LeMat-Bulk, functional GGA-PBE.

Cell: 3.761 4.846 3.761 Å, 90.00 90.00 90.00°
Positions (direct):
1 B 0.000 0.000 0.500
2 Ni 0.500 0.500 0.500
3 Zn 0.000 0.000 0.000
4 W 0.000 0.500 0.000
5 B 0.500 0.000 0.000

Symmetry   No. 123
Final energy   -4.70 eV per atom
ΔE_f   1.9691 eV/atom
Fermi-level density of states   0.7983 states/eV per atom

ZrNiB2W after structural relaxation. Source: Alexandria via LeMat-Bulk, functional GGA-PBE.

Cell: 4.107 4.487 4.107 Å, 90.00 90.00 90.00°
Positions (direct):
1 B 0.500 0.000 0.000
2 Ni 0.000 0.500 0.000
3 B 0.000 0.000 0.500
4 Zr 0.500 0.500 0.500
5 W 0.000 0.000 0.000

Symmetry   No. 123
Final energy   -7.47 eV per atom
ΔE_f   0.6603 eV/atom
Fermi-level density of states   0.3660 states/eV per atom

ZrNiBW2 after structural relaxation. Source: Alexandria via LeMat-Bulk, functional GGA-PBE.

Cell: 4.152 4.541 4.152 Å, 90.00 90.00 90.00°
Positions (direct):
1 W 0.500 0.000 0.000
2 B 0.000 0.000 0.000
3 Zr 0.000 0.500 0.000
4 Ni 0.500 0.500 0.500
5 W 0.000 0.000 0.500

Symmetry   No. 123
Final energy   -9.13 eV per atom
ΔE_f   0.2560 eV/atom
Fermi-level density of states   1.3695 states/eV per atom

YNi2B2 after structural relaxation. Source: Alexandria via LeMat-Bulk, functional GGA-PBE.

Cell: 6.470 6.470 2.988 Å, 90.00 90.00 90.00°
Positions (direct):
1 Ni 0.866 0.366 0.500
2 B 0.402 0.902 0.000
3 B 0.902 0.598 0.000
4 Y 0.500 0.500 0.000
5 B 0.598 0.098 0.000
6 Ni 0.366 0.134 0.500
7 Ni 0.634 0.866 0.500
8 B 0.098 0.402 0.000
9 Y 0.000 0.000 0.000
10 Ni 0.134 0.634 0.500

Symmetry   No. 127
Final energy   -6.08 eV per atom
ΔE_f   0.1978 eV/atom
Fermi-level density of states   0.6366 states/eV per atom

YNi3B3 after structural relaxation. Source: Alexandria via LeMat-Bulk, functional GGA-PBE.

Cell: 5.528 5.528 5.528 Å, 90.00 90.00 90.00°
Positions (direct):
1 B 0.750 0.000 0.500
2 Ni 0.000 0.750 0.500
3 Ni 0.750 0.500 0.000
4 Y 0.500 0.500 0.500
5 B 0.500 0.750 0.000
6 Y 0.000 0.000 0.000
7 B 0.250 0.000 0.500
8 B 0.500 0.250 0.000
9 Ni 0.500 0.000 0.750
10 Ni 0.000 0.250 0.500
11 B 0.000 0.500 0.750
12 Ni 0.250 0.500 0.000
13 B 0.000 0.500 0.250
14 Ni 0.500 0.000 0.250

Symmetry   No. 223
Final energy   -6.40 eV per atom
ΔE_f   -0.1389 eV/atom
Fermi-level density of states   0.7720 states/eV per atom
Energy above the lowest structure with this stoichiometry   8 meV per atom